Tl2In2Hg4Bi after structural relaxation. Source: Alexandria via LeMat-Bulk, functional PBE.

Cell lengths 3.4437, 3.4437, 25.2405 Å; angles 90.00, 90.00, 120.00 degrees
Sites, in units of the cell vectors:
1 Tl 0.6667 0.3333 0.4433
2 Tl 0.6667 0.3333 0.2065
3 In 0.0000 0.0000 0.9720
4 In 0.6667 0.3333 0.6617
5 Hg 0.0000 0.0000 0.5561
6 Hg 0.6667 0.3333 0.0803
7 Hg 0.6667 0.3333 0.8670
8 Hg 0.0000 0.0000 0.7665
9 Bi 0.0000 0.0000 0.3237

Output
Total DFT energy (no corrections) (eV/atom): -1.69
Calculated formation energy (meV/atom): 5.8
Space group: No. 156
M_tot (μB/f.u.): 0.00